# Er2NpGa9 PBE optimized geometry
data_Er2NpGa9
_chemical_formula_sum 'Er2 Np1 Ga9'
_space_group_name_H-M_alt 'P 4/m m m'
_space_group_IT_number 123
_space_group_name_Hall '-P 4 2'
_cell_length_a 4.243
_cell_length_b 4.243
_cell_length_c 12.793
_cell_angle_alpha 90.00
_cell_angle_beta 90.00
_cell_angle_gamma 90.00
loop_
_atom_site_label
_atom_site_type_symbol
_atom_site_fract_x
_atom_site_fract_y
_atom_site_fract_z
Er1 Er 0.000 0.000 0.165
Np1 Np 0.000 0.000 0.500
Ga1 Ga 0.000 0.500 0.000
Ga2 Ga 0.000 0.500 0.334
Ga3 Ga 0.500 0.500 0.168
Ga4 Ga 0.500 0.500 0.500
# DFT total energy in eV/f.u.: -54.4
# Formation energy from the elements in eV/atom: -0.422
# Calculated volume in Å³ per cell: 230.3
# Total moment in μB per atom: 0.31

# CrC2 PBE optimized geometry
data_CrC2
_chemical_formula_sum 'Cr4 C8'
_space_group_name_H-M_alt 'P n m a'
_space_group_IT_number 62
_cell_length_a 4.691
_cell_length_b 2.544
_cell_length_c 7.800
_cell_angle_alpha 90.00
_cell_angle_beta 90.00
_cell_angle_gamma 90.00
loop_
_space_group_symop_operation_xyz
'x,y,z'
'-x,-y,-z'
'-x+1/2,-y,z+1/2'
'x+1/2,y,-z+1/2'
'x+1/2,-y+1/2,-z+1/2'
'-x+1/2,y+1/2,z+1/2'
'-x,y+1/2,-z'
'x,-y+1/2,z'
loop_
_atom_site_label
_atom_site_type_symbol
_atom_site_fract_x
_atom_site_fract_y
_atom_site_fract_z
Cr1 Cr 0.248 0.250 0.125
C1 C 0.131 0.750 0.346
C2 C 0.218 0.750 0.895
# Excess energy over the best structure of this formula in the dataset in kJ per mole of atoms: 16.4
# DFT total energy in eV/f.u.: -26.1
# Formation energy from the elements in eV/atom: 0.666
# Calculated volume in Å³ per cell: 93.1
# Total moment in μB per atom: 0.56

# NbZnIn3 PBE optimized geometry
data_NbZnIn3
_chemical_formula_sum 'Nb1 Zn1 In3'
_space_group_name_H-M_alt 'P m -3 m'
_space_group_IT_number 221
_space_group_name_Hall '-P 4 2 3'
_cell_length_a 5.072
_cell_length_b 5.072
_cell_length_c 5.072
_cell_angle_alpha 90.00
_cell_angle_beta 90.00
_cell_angle_gamma 90.00
loop_
_atom_site_label
_atom_site_type_symbol
_atom_site_fract_x
_atom_site_fract_y
_atom_site_fract_z
Nb1 Nb 0.000 0.000 0.000
Zn1 Zn 0.500 0.500 0.500
In1 In 0.000 0.500 0.500
# Excess energy over the best structure of this formula in the dataset in kJ per mole of atoms: 17.3
# DFT total energy in eV/f.u.: -15.0
# Formation energy from the elements in eV/atom: 0.911
# Calculated volume in Å³ per cell: 130.5
# Total moment in μB per atom: 0.55

# NaSrNi2B PBE optimized geometry
data_NaSrNi2B
_chemical_formula_sum 'Na1 Sr1 Ni2 B1'
_space_group_name_H-M_alt 'P 4/m m m'
_space_group_IT_number 123
_space_group_name_Hall '-P 4 2'
_cell_length_a 4.657
_cell_length_b 4.657
_cell_length_c 4.619
_cell_angle_alpha 90.00
_cell_angle_beta 90.00
_cell_angle_gamma 90.00
loop_
_atom_site_label
_atom_site_type_symbol
_atom_site_fract_x
_atom_site_fract_y
_atom_site_fract_z
Na1 Na 0.000 0.000 0.000
Sr1 Sr 0.500 0.500 0.500
Ni1 Ni 0.000 0.500 0.000
B1 B 0.000 0.000 0.500
# DFT total energy in eV/f.u.: -14.5
# Formation energy from the elements in eV/atom: 1.345
# Calculated volume in Å³ per cell: 100.2
# Total moment in μB per atom: 0.00

# Ca2BSbPd6 PBE optimized geometry
data_Ca2BSbPd6
_chemical_formula_sum 'Ca4 B2 Sb2 Pd12'
_space_group_name_H-M_alt 'C 1 2/m 1'
_space_group_IT_number 12
_cell_length_a 10.112
_cell_length_b 5.857
_cell_length_c 7.278
_cell_angle_alpha 90.00
_cell_angle_beta 117.02
_cell_angle_gamma 90.00
loop_
_space_group_symop_operation_xyz
'x,y,z'
'-x,-y,-z'
'-x,y,-z'
'x,-y,z'
'x+1/2,y+1/2,z'
'-x+1/2,-y+1/2,-z'
'-x+1/2,y+1/2,-z'
'x+1/2,-y+1/2,z'
loop_
_atom_site_label
_atom_site_type_symbol
_atom_site_fract_x
_atom_site_fract_y
_atom_site_fract_z
Ca1 Ca 0.230 0.000 0.180
B1 B 0.000 0.000 0.500
Sb1 Sb 0.000 0.500 0.000
Pd1 Pd 0.033 0.258 0.327
Pd2 Pd 0.229 0.000 0.686
# DFT total energy in eV/f.u.: -52.1
# Uncorrected formation energy in eV per formula unit: -6.1
# Calculated volume in Å³ per cell: 384.0
# Total moment in μB per atom: 0.00

# Na4GeTe4 PBE optimized geometry
data_Na4GeTe4
_chemical_formula_sum 'Na8 Ge2 Te8'
_space_group_name_H-M_alt 'I -4 2 m'
_space_group_IT_number 121
_space_group_name_Hall 'I -4 2'
_cell_length_a 7.480
_cell_length_b 7.480
_cell_length_c 11.906
_cell_angle_alpha 90.00
_cell_angle_beta 90.00
_cell_angle_gamma 90.00
loop_
_atom_site_label
_atom_site_type_symbol
_atom_site_fract_x
_atom_site_fract_y
_atom_site_fract_z
Na1 Na 0.000 0.000 0.177
Na2 Na 0.000 0.500 0.000
Ge1 Ge 0.000 0.000 0.500
Te1 Te 0.199 0.199 0.367
# DFT total energy in eV/f.u.: -27.9
# Uncorrected formation energy in eV per formula unit: -5.4
# Calculated volume in Å³ per cell: 666.2
# Total moment in μB per atom: 0.00